The following is a SCAN calculation of a crystal of ReAs2 relaxed with PBEsol, from the Alexandria database.

```
ReAs2
1.0
12.5180 0.0000 0.0000
0.0000 3.1011 0.0000
-2.9077 0.0000 5.4484
Re As
4 8
direct
0.2414 0.0000 0.3047 Re
0.2586 0.5000 0.6953 Re
0.7414 0.5000 0.3047 Re
0.7586 0.0000 0.6953 Re
0.0790 0.5000 0.2737 As
0.1415 0.0000 0.8368 As
0.3585 0.5000 0.1632 As
0.4210 0.0000 0.7263 As
0.5790 0.0000 0.2737 As
0.6415 0.5000 0.8368 As
0.8585 0.0000 0.1632 As
0.9210 0.5000 0.7263 As
```

The following is a SCAN calculation of a crystal of ReAs2 relaxed with PBEsol, from the Alexandria database.

```
ReAs2
1.0
8.7569 0.0000 0.0000
0.0000 3.1125 0.0000
-0.5137 0.0000 7.4595
Re As
4 8
direct
0.0000 0.0000 0.0000 Re
0.2152 0.5000 0.2625 Re
0.5000 0.5000 0.0000 Re
0.7152 0.0000 0.2625 Re
0.0011 0.0000 0.3429 As
0.0279 0.5000 0.7345 As
0.2573 0.0000 0.5473 As
0.2802 0.0000 0.9963 As
0.5011 0.5000 0.3429 As
0.5279 0.0000 0.7345 As
0.7573 0.5000 0.5473 As
0.7802 0.5000 0.9963 As
```

The following is a SCAN calculation of a crystal of ReAs2 relaxed with PBEsol, from the Alexandria database.

```
ReAs2
1.0
4.4379 0.0000 0.0000
-2.2189 3.8433 0.0000
0.0000 0.0000 5.6085
Re As
2 4
direct
0.3333 0.6667 0.2500 Re
0.6667 0.3333 0.7500 Re
0.0000 0.0000 0.0000 As
0.0000 0.0000 0.5000 As
0.3333 0.6667 0.7500 As
0.6667 0.3333 0.2500 As
```

The following is a SCAN calculation of a crystal of Re3As7 relaxed with PBEsol, from the Alexandria database.

```
Re3As7
1.0
-4.3767 4.3767 4.3767
4.3767 -4.3767 4.3767
4.3767 4.3767 -4.3767
Re As
6 14
direct
0.0000 0.3404 0.3404 Re
0.0000 0.6596 0.6596 Re
0.3404 0.0000 0.3404 Re
0.3404 0.3404 0.0000 Re
0.6596 0.0000 0.6596 Re
0.6596 0.6596 0.0000 Re
0.0000 0.0000 0.3321 As
0.0000 0.0000 0.6679 As
0.0000 0.3321 0.0000 As
0.0000 0.6679 0.0000 As
0.2500 0.5000 0.7500 As
0.2500 0.7500 0.5000 As
0.3321 0.0000 0.0000 As
0.3321 0.3321 0.3321 As
0.5000 0.2500 0.7500 As
0.5000 0.7500 0.2500 As
0.6679 0.0000 0.0000 As
0.6679 0.6679 0.6679 As
0.7500 0.2500 0.5000 As
0.7500 0.5000 0.2500 As
```

The following is a SCAN calculation of a crystal of Re4As3 relaxed with PBEsol, from the Alexandria database.

```
Re4As3
1.0
4.9381 0.0000 0.0000
-2.4691 4.2765 0.0000
0.0000 0.0000 5.1206
Re As
4 3
direct
0.0000 0.0000 0.2262 Re
0.0000 0.0000 0.7738 Re
0.3333 0.6667 0.0000 Re
0.6667 0.3333 0.0000 Re
0.0000 0.5000 0.5000 As
0.5000 0.0000 0.5000 As
0.5000 0.5000 0.5000 As
```

The following is a SCAN calculation of a crystal of ReAs2 relaxed with PBEsol, from the Alexandria database.

```
ReAs2
1.0
3.0086 0.0000 0.0000
-0.0023 3.0396 0.0000
-0.0111 -1.5053 5.7160
Re As
1 2
direct
0.0000 0.0000 0.0000 Re
0.4987 0.3696 0.7353 As
0.5013 0.6304 0.2647 As
```

no.,DFT formation energy (eV/atom)
1,-0.03
2,0.15
3,0.80
4,-0.11
5,1.19
6,0.09